This record from Alexandria via LeMat-Bulk describes a relaxed structure of La2IrWO. The functional is PBE+U.

Unit cell a=5.746 b=5.746 c=3.845 alpha=90.00 beta=90.00 gamma=90.00
Space group P4/mmm (No. 123)
Asymmetric unit:
1 La 0.000 0.500 0.000 [2 per cell]
2 Ir 0.000 0.000 0.500 [1 per cell]
3 W 0.500 0.500 0.000 [1 per cell]
4 O 0.500 0.500 0.500 [1 per cell]

Output
Total DFT energy (no corrections) ... -30.4 eV for the cell shown